The following is a DFT calculation (PBE+U) of NiPPtO2 after structural relaxation.

The density of states at the Fermi level comes out at 0.638 states/eV/atom. For the calculated total energy, the calculation gives -4.505 eV/atom. As for the crystal system: tetragonal.

The space group is P4/mmm (No. 123) and the conventional cell measures 3.4606, 3.4606 and 6.5412 Å, with angles of 90.00, 90.00 and 90.00 degrees. The distinct sites, in fractional coordinates, are Ni at (0.0000, 0.0000, 0.0000), P at (0.0000, 0.0000, 0.5000), Pt at (0.5000, 0.5000, 0.5000) and O at (0.0000, 0.5000, 0.0000).